[1]
HfNbZn2Tc | GGA-PBE | optimized geometry

The structure in extended XYZ format:
```
5
Lattice="4.907 0.000 0.000 0.000 4.827 0.000 0.000 0.000 4.907" Properties=species:S:1:pos:R:3 pbc="T T T"
Nb 0.000 0.000 0.000
Hf 0.000 2.413 0.000
Zn 0.000 0.000 2.454
Zn 2.454 0.000 0.000
Tc 2.454 2.413 2.454
```

The formation energy from the elements comes out at 1.54 eV/atom.

---

[2]
Hf2NbTe | GGA-PBE | optimized geometry

The structure in extended XYZ format:
```
4
Lattice="-3.243 -0.050 1.075 -2.469 -1.139 -2.070 -0.744 -8.580 2.786" Properties=species:S:1:pos:R:3 pbc="T T T"
Hf -1.037 -6.512 1.998
Hf -1.608 -2.485 0.464
Nb -3.227 -4.891 0.898
Te -4.556 -9.345 2.112
```

The total energy is -8.306 eV per atom.

---

[3]
Hf2NbTe6 | GGA-PBE | optimized geometry

The structure in extended XYZ format:
```
18
Lattice="-5.018 4.862 -0.517 -2.029 -1.364 6.866 5.747 6.988 3.087" Properties=species:S:1:pos:R:3 pbc="T T T"
Te 1.550 6.097 5.648
Te -1.003 0.784 2.388
Te 1.685 9.472 3.601
Te -2.850 4.388 3.788
Te -0.973 3.567 6.818
Te -0.296 9.701 7.049
Te -4.790 4.391 7.084
Te -2.985 1.013 5.836
Te 0.946 3.296 3.582
Te -0.327 6.918 2.618
Te 3.490 6.094 2.352
Te -2.246 7.189 5.854
Hf -0.133 6.749 7.821
Hf -0.122 1.077 5.265
Hf -1.178 9.408 4.171
Hf -1.167 3.735 1.616
Nb 2.874 3.494 1.543
Nb -3.524 1.749 3.175
```

The total energy is -5.914 eV per atom.

---

[4]
Hf2NbTe6 | GGA-PBE | optimized geometry

The structure in extended XYZ format:
```
9
Lattice="-2.973 -0.479 2.392 -4.434 -3.773 -6.267 6.394 -5.911 3.670" Properties=species:S:1:pos:R:3 pbc="T T T"
Te 1.409 -5.661 0.616
Te -0.229 -2.543 2.298
Te -0.784 -7.621 -2.502
Te -2.422 -4.503 -0.821
Te -3.347 -2.857 -4.733
Te 2.334 -7.307 4.528
Hf -1.174 -6.902 0.250
Hf 0.160 -3.262 -0.454
Nb -1.487 -0.240 1.196
```

The total energy is -6.095 eV per atom.

---

[5]
HfNb2Te4 | GGA-PBE | optimized geometry

The structure in extended XYZ format:
```
7
Lattice="3.725 0.000 0.000 0.000 6.938 -0.156 -1.862 -3.521 6.948" Properties=species:S:1:pos:R:3 pbc="T T T"
Nb 1.862 4.001 3.301
Nb 0.000 -0.583 3.490
Te 0.000 2.247 4.881
Te 1.862 1.170 1.911
Te 1.862 -1.056 5.489
Te 0.000 4.473 1.303
Hf 0.000 0.000 0.000
```

The total energy is -6.620 eV per atom.

---

[6]
HfNb4Te8 | GGA-PBE | optimized geometry

The structure in extended XYZ format:
```
13
Lattice="6.681 -0.001 -3.605 -4.313 6.247 0.000 0.126 0.088 8.228" Properties=species:S:1:pos:R:3 pbc="T T T"
Te 0.161 4.723 0.298
Te 0.223 4.767 4.270
Te -3.184 4.801 2.092
Te 2.272 1.568 0.353
Te 3.447 4.766 2.531
Te 5.679 1.533 2.531
Te 2.334 1.611 4.325
Te -0.952 1.568 2.092
Nb 1.184 3.123 -1.802
Nb 4.651 3.211 4.623
Nb 3.467 0.087 6.426
Nb 0.000 0.000 0.000
Hf -2.093 3.168 4.114
```

The total energy is -6.149 eV per atom.

---

[7]
HfNb3Te | GGA-PBE | optimized geometry

The structure in extended XYZ format:
```
5
Lattice="-0.771 -3.367 3.582 1.307 -3.636 -3.136 4.739 0.455 1.448" Properties=species:S:1:pos:R:3 pbc="T T T"
Te 2.638 -3.274 0.947
Hf 0.000 0.000 0.000
Nb 2.370 0.228 0.724
Nb -0.386 -1.684 1.791
Nb 0.654 -1.818 -1.568
```

The total energy is -7.203 eV per atom.

---

[8]
HfNb3Te | GGA-PBE | optimized geometry

The structure in extended XYZ format:
```
5
Lattice="-3.943 0.620 -2.986 -3.042 -1.137 3.782 -0.211 4.814 1.278" Properties=species:S:1:pos:R:3 pbc="T T T"
Nb -1.521 -0.569 1.891
Nb -0.105 2.407 0.639
Nb -1.972 0.310 -1.493
Hf -3.598 2.148 1.037
Te 0.000 0.000 0.000
```

The total energy is -7.486 eV per atom.

---

[9]
HfNbTe2 | GGA-PBE | optimized geometry

The structure in extended XYZ format:
```
4
Lattice="1.995 0.000 9.675 -0.997 1.727 9.675 -0.997 -1.727 9.675" Properties=species:S:1:pos:R:3 pbc="T T T"
Nb 0.000 0.000 14.512
Te 0.000 0.000 2.877
Te 0.000 0.000 26.147
Hf 0.000 0.000 0.000
```

The total energy is -6.599 eV per atom.

---

[10]
Hf2NbTe | GGA-PBE | optimized geometry

The structure in extended XYZ format:
```
4
Lattice="3.659 0.000 0.000 0.000 3.659 0.000 0.000 0.000 6.268" Properties=species:S:1:pos:R:3 pbc="T T T"
Te 1.829 1.829 3.134
Hf 0.000 0.000 4.770
Hf 0.000 0.000 1.498
Nb 1.829 1.829 0.000
```

The total energy is -8.581 eV per atom.

---

[11]
Hf2NbTe4 | GGA-PBE | optimized geometry

The structure in extended XYZ format:
```
7
Lattice="-1.823 0.175 3.322 -6.114 -1.888 -3.257 5.488 -5.529 1.137" Properties=species:S:1:pos:R:3 pbc="T T T"
Nb 0.000 0.000 0.000
Hf 1.068 -3.100 0.749
Hf -3.517 -4.142 0.453
Te -3.731 -2.535 -1.914
Te -1.580 -1.958 1.401
Te -0.869 -5.283 -0.199
Te 1.282 -4.706 3.117
```

The total energy is -6.671 eV per atom.

---

[12]
HfNbTe4 | GGA-PBE | optimized geometry

The structure in extended XYZ format:
```
6
Lattice="-1.281 3.318 1.367 -5.706 -0.511 -4.106 -3.190 -3.209 4.801" Properties=species:S:1:pos:R:3 pbc="T T T"
Te -5.411 0.730 -1.533
Te -6.356 -2.507 0.130
Te -4.767 -1.133 3.594
Te -2.541 -1.213 0.564
Nb -2.236 0.054 3.084
Hf 0.000 0.000 0.000
```

The total energy is -6.036 eV per atom.

---

Question: What is the formula in the fifth record?
Answer: HfNb2Te4